1.
Computed, not measured: a geometry-optimized Cs3GeRu structure at the PBE level of DFT.

Structure (POSCAR):
```
Cs3GeRu
1.0
-0.139 -5.495 -1.933
-0.684 -1.905 5.464
-5.785 0.357 -0.600
Cs Ru Ge
3 1 1
direct
0.000 0.500 0.000 Cs
0.500 0.000 0.000 Cs
0.000 0.000 0.500 Cs
0.000 0.000 0.000 Ru
0.500 0.500 0.500 Ge
```

Values from the calculation:
E_form: 99.10 kJ per mole of atoms



2.
Computed, not measured: a geometry-optimized CsGe2Ru2 structure at the PBE level of DFT.

Structure (POSCAR):
```
CsGe2Ru2
1.0
-0.226 4.247 1.120
-4.387 -0.163 -0.268
-2.644 0.283 7.026
Ru Cs Ge
2 1 2
direct
0.250 0.750 0.500 Ru
0.750 0.250 0.500 Ru
0.000 0.000 0.000 Cs
0.323 0.323 0.354 Ge
0.677 0.677 0.646 Ge
```

Values from the calculation:
E_form: -5.28 kJ per mole of atoms



3.
Computed, not measured: a geometry-optimized CsGeRu2 structure at the PBE level of DFT.

Structure (POSCAR):
```
CsGeRu2
1.0
4.982 0.000 0.000
0.000 4.982 0.000
2.491 2.491 8.646
Ru Ge Cs
4 2 2
direct
0.399 0.125 0.250 Ru
0.375 0.601 0.750 Ru
0.875 0.649 0.750 Ru
0.351 0.625 0.250 Ru
0.250 0.750 0.500 Ge
0.500 0.500 0.000 Ge
0.000 0.000 0.000 Cs
0.750 0.250 0.500 Cs
```

Values from the calculation:
E_form: 80.96 kJ per mole of atoms



4.
Computed, not measured: a geometry-optimized CsGeRu structure at the PBE level of DFT.

Structure (POSCAR):
```
CsGeRu
1.0
4.448 0.000 0.000
0.000 4.448 0.000
0.000 0.000 9.398
Ru Cs Ge
2 2 2
direct
0.500 0.500 0.500 Ru
0.000 0.000 0.500 Ru
0.000 0.500 0.817 Cs
0.500 0.000 0.183 Cs
0.500 0.000 0.609 Ge
0.000 0.500 0.391 Ge
```

Values from the calculation:
E_form: -7.16 kJ per mole of atoms



5.
Computed, not measured: a geometry-optimized CsGe2RuS structure at the PBE level of DFT.

Structure (POSCAR):
```
CsGe2RuS
1.0
-0.142 -3.708 4.475
-3.346 -3.143 -2.709
4.523 -2.881 -2.244
Cs Ru Ge S
1 1 2 1
direct
0.000 0.000 0.000 Cs
0.500 0.500 0.500 Ru
0.000 0.000 0.500 Ge
0.500 0.000 0.000 Ge
0.000 0.500 0.000 S
```

Values from the calculation:
E_form (uncorrected): 2.301 eV per atom



6.
Computed, not measured: a geometry-optimized CsTiGe2Ru structure at the PBE level of DFT.

Structure (POSCAR):
```
CsTiGe2Ru
1.0
5.464 0.000 0.000
0.000 4.930 0.000
0.000 0.000 5.464
Ru Cs Ge Ti
1 1 2 1
direct
0.000 0.500 0.000 Ru
0.000 0.000 0.000 Cs
0.000 0.000 0.500 Ge
0.500 0.000 0.000 Ge
0.500 0.500 0.500 Ti
```

Values from the calculation:
E_form: 232.13 kJ per mole of atoms



7.
Computed, not measured: a geometry-optimized Cs2VGeRu structure at the PBE level of DFT.

Structure (POSCAR):
```
Cs2VGeRu
1.0
6.976 0.000 0.000
0.000 4.249 0.000
0.000 0.000 6.976
Ge Cs Ru V
1 2 1 1
direct
0.500 0.500 0.500 Ge
0.500 0.000 0.000 Cs
0.000 0.000 0.500 Cs
0.000 0.500 0.000 Ru
0.000 0.000 0.000 V
```

Values from the calculation:
E_form: 124.20 kJ per mole of atoms



8.
Computed, not measured: a geometry-optimized CsGe3S structure at the PBE level of DFT.

Structure (POSCAR):
```
CsGe3S
1.0
5.799 0.000 0.000
0.000 5.799 0.000
0.000 0.000 5.799
Cs Ge S
1 3 1
direct
0.000 0.000 0.000 Cs
0.500 0.000 0.000 Ge
0.000 0.500 0.000 Ge
0.000 0.000 0.500 Ge
0.500 0.500 0.500 S
```

Values from the calculation:
energy above the lowest structure with this stoichiometry: 7.95 eV/f.u.
E_form (uncorrected): 2.058 eV per atom